## Na3Nd2PbO6 (GGA-PBE)

Data for Na3Nd2PbO6 after structural relaxation.

Cell: 6.168 6.168 6.045 Å, 99.80 99.80 119.95°
Site moments in Bohr magnetons follow the coordinates.
Fractional positions:
1 O 0.588 0.925 0.777  0.06
2 Na 0.500 0.500 0.500  0.00
3 O 0.925 0.588 0.777  0.06
4 Nd 0.667 0.333 0.000  0.01
5 Na 0.841 0.159 0.500  0.00
6 Na 0.159 0.841 0.500  0.00
7 O 0.075 0.412 0.223  0.06
8 Pb 0.000 0.000 0.000  0.12
9 O 0.736 0.736 0.224  0.06
10 O 0.412 0.075 0.223  0.06
11 Nd 0.333 0.667 0.000  0.01
12 O 0.264 0.264 0.776  0.06

The total energy is -6.0159 eV per atom. As for the formation energy from raw total energies: -2103.4 meV per atom. For the density, the calculation gives 5.85 g cm⁻³.

---

## Na2NdPbO4 (GGA-PBE)

Data for Na2NdPbO4 after structural relaxation.

Cell: 3.580 6.091 6.047 Å, 109.52 90.00 90.00°
Fractional positions:
1 Na 0.500 0.000 0.500
2 O 0.500 0.761 0.774
3 O 0.500 0.239 0.226
4 Na 0.000 0.500 0.500
5 O 0.000 0.267 0.778
6 O 0.000 0.733 0.222
7 Pb 0.000 0.000 0.000
8 Nd 0.500 0.500 0.000

The total energy is -5.7333 eV per atom. As for the formation energy from raw total energies: -1864.9 meV per atom. For the density, the calculation gives 6.17 g cm⁻³.

---

## Na4NdPd3O8 (GGA-PBE)

Data for Na4NdPd3O8 after structural relaxation.

Cell: 6.257 6.454 7.041 Å, 117.96 116.38 90.00°
Site moments in Bohr magnetons follow the coordinates.
Fractional positions:
1 Na 0.000 0.000 0.000  0.00
2 O 0.228 0.676 0.455  0.08
3 O 0.308 0.367 0.616  0.00
4 O 0.772 0.324 0.545  0.08
5 Pd 0.500 0.500 0.000  0.02
6 Pd 0.000 0.500 0.500  0.12
7 O 0.692 0.633 0.384  0.00
8 O 0.309 0.766 0.071  0.04
9 Na 0.500 0.000 0.500  0.00
10 Pd 0.500 0.500 0.500  0.12
11 Na 0.000 0.000 0.500  0.00
12 O 0.761 0.766 0.071  0.04
13 O 0.239 0.234 0.929  0.04
14 O 0.691 0.234 0.929  0.04
15 Na 0.500 0.000 0.000  0.00
16 Nd 0.000 0.500 0.000  0.00

The total energy is -5.3287 eV per atom. As for the formation energy from raw total energies: -1248.2 meV per atom. For the density, the calculation gives 5.23 g cm⁻³.

---

## Na3Nd2PdO6 (GGA-PBE)

Data for Na3Nd2PdO6 after structural relaxation.

Cell: 5.951 5.951 5.944 Å, 99.09 99.09 120.07°
Site moments in Bohr magnetons follow the coordinates.
Fractional positions:
1 Pd 0.000 0.000 0.000  0.53
2 Nd 0.670 0.330 0.000  0.00
3 O 0.767 0.767 0.203  -0.01
4 Na 0.500 0.500 0.500  0.00
5 Nd 0.330 0.670 0.000  0.00
6 O 0.599 0.923 0.769  0.10
7 Na 0.847 0.153 0.500  0.00
8 Na 0.153 0.847 0.500  0.00
9 O 0.233 0.233 0.797  -0.01
10 O 0.923 0.599 0.769  0.10
11 O 0.077 0.401 0.231  0.10
12 O 0.401 0.077 0.231  0.10

The total energy is -5.9968 eV per atom. As for the formation energy from raw total energies: -1960.5 meV per atom. For the density, the calculation gives 5.38 g cm⁻³.

---

## Na2NdPdO4 (GGA-PBE)

Data for Na2NdPdO4 after structural relaxation.

Cell: 3.540 5.521 5.932 Å, 109.10 90.00 90.00°
Fractional positions:
1 O 0.500 0.212 0.217
2 Na 0.000 0.500 0.500
3 O 0.000 0.238 0.783
4 Na 0.500 0.000 0.500
5 O 0.000 0.762 0.217
6 Nd 0.500 0.500 0.000
7 O 0.500 0.788 0.783
8 Pd 0.000 0.000 0.000

The total energy is -5.7122 eV per atom. As for the formation energy from raw total energies: -1658.3 meV per atom. For the density, the calculation gives 5.47 g cm⁻³.

---

## Na2PmNdO4 (GGA-PBE)

Data for Na2PmNdO4 after structural relaxation.

Cell: 3.575 6.192 5.998 Å, 110.13 90.00 90.00°
Fractional positions:
1 O 0.000 0.263 0.784
2 O 0.000 0.737 0.216
3 Na 0.000 0.500 0.500
4 Nd 0.000 0.000 0.000
5 O 0.500 0.241 0.216
6 O 0.500 0.759 0.784
7 Pm 0.500 0.500 0.000
8 Na 0.500 0.000 0.500

The total energy is -6.6284 eV per atom. As for the formation energy from raw total energies: -2629.8 meV per atom. For the density, the calculation gives 5.32 g cm⁻³.

---

## NaNd3PtO7 (GGA-PBE)

Data for NaNd3PtO7 after structural relaxation.

Cell: 5.749 5.749 12.072 Å, 76.80 76.80 61.70°
Fractional positions:
1 Nd 0.559 0.067 0.243
2 O 0.615 0.274 0.402
3 O 0.786 0.713 0.403
4 Nd 0.067 0.559 0.743
5 Nd 0.323 0.813 0.061
6 Nd 0.813 0.323 0.561
7 O 0.893 0.805 0.101
8 O 0.374 0.716 0.594
9 O 0.203 0.132 0.407
10 Na 0.430 0.866 0.759
11 Pt 0.505 0.999 0.504
12 O 0.770 0.377 0.747
13 O 0.377 0.770 0.247
14 O 0.713 0.786 0.903
15 O 0.716 0.374 0.094
16 Pt 0.999 0.505 0.004
17 Nd 0.692 0.203 0.931
18 Nd 0.203 0.692 0.431
19 O 0.237 0.296 0.596
20 O 0.132 0.203 0.907
21 O 0.805 0.893 0.601
22 Na 0.866 0.430 0.259
23 O 0.274 0.615 0.902
24 O 0.296 0.237 0.096

The total energy is -7.1352 eV per atom. As for the formation energy from raw total energies: -2437.6 meV per atom. For the density, the calculation gives 7.48 g cm⁻³.

---

## Na3Nd3PtO8 (GGA-PBE)

Data for Na3Nd3PtO8 after structural relaxation.

Cell: 6.979 6.979 6.877 Å, 120.51 90.00 120.00°
Fractional positions:
1 O 0.228 0.012 0.296
2 O 0.772 0.988 0.704
3 Na 0.000 0.000 0.000
4 Pt 0.000 0.000 0.500
5 O 0.261 0.523 0.284
6 Nd 0.500 0.500 0.500
7 O 0.784 0.012 0.296
8 O 0.739 0.477 0.716
9 Nd 0.000 0.500 0.500
10 O 0.216 0.433 0.704
11 Na 0.000 0.500 0.000
12 Na 0.500 0.500 0.000
13 O 0.216 0.988 0.704
14 Nd 0.500 0.000 0.500
15 O 0.784 0.567 0.296

The total energy is -6.4485 eV per atom. As for the formation energy from raw total energies: -2184.0 meV per atom. For the density, the calculation gives 5.83 g cm⁻³.

---

## NaNdPtO4 (GGA-PBE)

Data for NaNdPtO4 after structural relaxation.

Cell: 6.521 6.698 7.279 Å, 122.92 90.00 119.13°
Fractional positions:
1 Na 0.109 0.218 0.859
2 O 0.252 0.953 0.727
3 Na 0.891 0.782 0.141
4 Pt 0.000 0.500 0.500
5 O 0.701 0.953 0.727
6 O 0.760 0.519 0.691
7 O 0.240 0.481 0.672
8 O 0.299 0.047 0.273
9 Nd 0.500 0.000 0.000
10 O 0.240 0.481 0.309
11 Nd 0.500 0.000 0.500
12 O 0.760 0.519 0.328
13 O 0.748 0.047 0.273
14 Pt 0.500 0.500 0.500

The total energy is -6.2830 eV per atom. As for the formation energy from raw total energies: -1717.2 meV per atom. For the density, the calculation gives 6.51 g cm⁻³.

---

## Na2Nd2PuO6 (GGA-PBE)

Data for Na2Nd2PuO6 after structural relaxation.

Cell: 6.193 6.193 5.934 Å, 98.66 98.66 120.00°
Site moments in Bohr magnetons follow the coordinates.
Fractional positions:
1 O 0.374 0.045 0.699  -0.03
2 O 0.955 0.626 0.301  -0.03
3 Nd 0.665 0.335 0.500  0.01
4 O 0.626 0.955 0.301  -0.03
5 Pu 0.000 0.000 0.500  4.16
6 Nd 0.335 0.665 0.500  0.01
7 O 0.240 0.240 0.299  -0.05
8 O 0.045 0.374 0.699  -0.03
9 Na 0.157 0.843 0.000  0.00
10 O 0.760 0.760 0.701  -0.05
11 Na 0.843 0.157 0.000  0.00

The total energy is -7.7944 eV per atom. As for the formation energy from raw total energies: -2680.4 meV per atom. For the density, the calculation gives 5.96 g cm⁻³.

---

## Na2NdPuO6 (GGA-PBE)

Data for Na2NdPuO6 after structural relaxation.

Cell: 5.822 6.003 8.380 Å, 90.00 90.11 90.00°
Site moments in Bohr magnetons follow the coordinates.
Fractional positions:
1 Pu 0.000 0.500 0.000  1.39
2 O 0.604 0.045 0.271  -0.06
3 Pu 0.500 0.000 0.500  1.39
4 O 0.104 0.455 0.771  -0.06
5 Na 0.007 0.961 0.254  0.00
6 O 0.285 0.677 0.049  -0.06
7 O 0.171 0.219 0.061  -0.06
8 O 0.785 0.823 0.549  -0.06
9 Nd 0.000 0.500 0.500  -0.01
10 O 0.215 0.177 0.451  -0.06
11 Na 0.493 0.461 0.246  0.00
12 O 0.396 0.955 0.729  -0.06
13 O 0.715 0.323 0.951  -0.06
14 O 0.671 0.281 0.561  -0.06
15 Na 0.993 0.039 0.746  0.00
16 Nd 0.500 0.000 0.000  -0.01
17 O 0.896 0.545 0.229  -0.06
18 O 0.829 0.781 0.939  -0.06
19 O 0.329 0.719 0.439  -0.06
20 Na 0.507 0.539 0.754  0.00

The total energy is -7.6151 eV per atom. As for the formation energy from raw total energies: -2466.4 meV per atom. For the density, the calculation gives 6.01 g cm⁻³.

---

## NaNdPuO6 (GGA-PBE)

Data for NaNdPuO6 after structural relaxation.

Cell: 5.684 5.684 9.857 Å, 90.00 90.00 120.00°
Fractional positions:
1 Pu 0.667 0.333 0.250
2 O 0.373 0.054 0.137
3 Nd 0.000 0.000 0.000
4 O 0.946 0.319 0.137
5 O 0.373 0.319 0.363
6 Na 0.667 0.333 0.750
7 O 0.054 0.681 0.863
8 O 0.627 0.681 0.637
9 O 0.627 0.946 0.863
10 O 0.319 0.946 0.637
11 O 0.681 0.627 0.137
12 O 0.319 0.373 0.863
13 O 0.054 0.373 0.637
14 O 0.681 0.054 0.363
15 Na 0.333 0.667 0.250
16 Pu 0.333 0.667 0.750
17 O 0.946 0.627 0.363
18 Nd 0.000 0.000 0.500

The total energy is -7.9276 eV per atom. As for the formation energy from raw total energies: -2353.3 meV per atom. For the density, the calculation gives 6.11 g cm⁻³.